## Li4Ga2Hg (GGA-PBE)

Data for Li4Ga2Hg after structural relaxation.

a = 5.164 Å, b = 10.239 Å, c = 5.170 Å
α = 90.00°, β = 90.00°, γ = 90.00°
Space group Cmmm (No. 65)
Symmetry-distinct sites (fractional):
Li  0.000  0.134  0.000 x4
Li  0.000  0.333  0.500 x4
Ga  0.000  0.381  0.000 x4
Hg  0.000  0.000  0.500 x2

Values from the calculation:
For the formation energy, the calculation gives -105 meV/atom. The calculation puts the density of states at the Fermi level at 0.351 states/eV/atom.

---

## Ce2BiAu (GGA-PBE)

Data for Ce2BiAu after structural relaxation.

a = 3.983 Å, b = 3.983 Å, c = 6.976 Å
α = 90.00°, β = 90.00°, γ = 90.00°
Space group P4/mmm (No. 123)
Symmetry-distinct sites (fractional):
Ce  0.000  0.000  0.234 x2
Bi  0.500  0.500  0.500 x1
Au  0.500  0.500  0.000 x1

Values from the calculation:
For the formation energy, the calculation gives -601 meV/atom. The calculation puts the density of states at the Fermi level at 2.994 states/eV/atom.

---

## LiAl5O8 (GGA-PBE)

Data for LiAl5O8 after structural relaxation.

a = 8.010 Å, b = 8.010 Å, c = 8.010 Å
α = 90.00°, β = 90.00°, γ = 90.00°
Space group F-43m (No. 216)
Symmetry-distinct sites (fractional):
Li  0.000  0.000  0.000 x4
Al  0.130  0.130  0.370 x16
Al  0.250  0.250  0.750 x4
O  0.117  0.117  0.617 x16
O  0.137  0.137  0.137 x16

Values from the calculation:
The calculation puts the density of states at the Fermi level at 0.000 states/eV/atom.

---

## LaSi2Pt (GGA-PBE)

Data for LaSi2Pt after structural relaxation.

a = 3.114 Å, b = 3.551 Å, c = 6.844 Å
α = 90.00°, β = 90.00°, γ = 90.00°
Space group Pmmm (No. 47)
Symmetry-distinct sites (fractional):
La  0.000  0.000  0.000 x1
Si  0.500  0.500  0.316 x2
Pt  0.000  0.000  0.500 x1

Values from the calculation:
The calculation puts the density of states at the Fermi level at 0.645 states/eV/atom.

---

## SrCeHg17 (GGA-PBE)

Data for SrCeHg17 after structural relaxation.

a = 10.0255 Å, b = 10.0255 Å, c = 17.7948 Å
α = 90.00°, β = 90.00°, γ = 120.00°
Space group R3m (No. 160, hexagonal axes)
Symmetry-distinct sites (fractional):
Sr  0.0000  0.0000  0.0000 x3
Ce  0.0000  0.0000  0.3195 x3
Hg  0.0000  0.0000  0.5249 x3
Hg  0.0000  0.0000  0.6941 x3
Hg  0.0270  0.3585  0.3061 x18
Hg  0.1865  0.3729  0.1066 x9
Hg  0.2155  0.4311  0.8368 x9
Hg  0.2164  0.4328  0.4918 x9

Values from the calculation:
For the formation energy, the calculation gives -128 meV/atom. The calculation puts the density of states at the Fermi level at 0.768 states/eV/atom.

---

## K2RePt (GGA-PBE)

Data for K2RePt after structural relaxation.

a = 8.835 Å, b = 2.823 Å, c = 9.882 Å
α = 90.00°, β = 92.74°, γ = 90.00°
Space group Cm (No. 8)
Symmetry-distinct sites (fractional):
K  0.000  0.000  0.000 x2
K  0.232  0.000  0.565 x2
Re  0.478  0.000  0.316 x2
Pt  0.240  0.500  0.244 x2

Values from the calculation:
For the formation energy, the calculation gives 582 meV/atom. Its energy above the most stable polymorph in this dataset is 87 meV/atom. The calculation puts the density of states at the Fermi level at 0.912 states/eV/atom.

---

## Mg2V2Cr (GGA-PBE)

Data for Mg2V2Cr after structural relaxation.

a = 3.327 Å, b = 3.327 Å, c = 16.714 Å
α = 90.00°, β = 90.00°, γ = 90.00°
Space group I4/mmm (No. 139)
Symmetry-distinct sites (fractional):
Mg  0.000  0.000  0.102 x4
V  0.000  0.500  0.250 x4
Cr  0.000  0.000  0.500 x2

Values from the calculation:
For the formation energy, the calculation gives 685 meV/atom. Its energy above the most stable polymorph in this dataset is 0 meV/atom. The calculation puts the density of states at the Fermi level at 0.818 states/eV/atom.

---

## HoIO (GGA-PBE)

Data for HoIO after structural relaxation.

a = 3.924 Å, b = 3.924 Å, c = 10.062 Å
α = 90.00°, β = 90.00°, γ = 90.00°
Space group P4/nmm (No. 129, origin choice 2)
Symmetry-distinct sites (fractional):
Ho  0.250  0.250  0.108 x2
I  0.250  0.250  0.701 x2
O  0.250  0.750  0.000 x2

Values from the calculation:
The calculation puts the density of states at the Fermi level at 0.000 states/eV/atom.

---

## Cd2Pt3O8 (GGA-PBE)

Data for Cd2Pt3O8 after structural relaxation.

a = 10.810 Å, b = 6.297 Å, c = 5.369 Å
α = 90.00°, β = 106.88°, γ = 90.00°
Space group C2/m (No. 12)
Symmetry-distinct sites (fractional):
Cd  0.209  0.000  0.130 x4
Pt  0.000  0.249  0.500 x4
Pt  0.000  0.500  0.000 x2
O  0.097  0.500  0.393 x4
O  0.104  0.000  0.430 x4
O  0.111  0.281  0.879 x8

---

## KOs2Cl (GGA-PBE)

Data for KOs2Cl after structural relaxation.

a = 2.702 Å, b = 4.620 Å, c = 7.407 Å
α = 90.00°, β = 90.00°, γ = 90.00°
Space group Pmmm (No. 47)
Symmetry-distinct sites (fractional):
K  0.000  0.000  0.000 x1
Os  0.000  0.500  0.500 x1
Os  0.500  0.000  0.500 x1
Cl  0.500  0.500  0.000 x1

Values from the calculation:
Its energy above the most stable polymorph in this dataset is 570 meV/atom. The calculation puts the density of states at the Fermi level at 0.968 states/eV/atom.

---

## K5CdAu (GGA-PBE)

Data for K5CdAu after structural relaxation.

a = 10.659 Å, b = 11.339 Å, c = 11.785 Å
α = 90.00°, β = 96.32°, γ = 90.00°
Space group C2/c (No. 15)
Symmetry-distinct sites (fractional):
K  0.000  0.140  0.250 x4
K  0.142  0.219  0.647 x8
K  0.197  0.426  0.011 x8
Cd  0.000  0.478  0.250 x4
Au  0.000  0.000  0.000 x4

Values from the calculation:
For the formation energy, the calculation gives -82 meV/atom. The calculation puts the density of states at the Fermi level at 0.437 states/eV/atom.

---

## RbSrNd2Se4 (GGA-PBE)

Data for RbSrNd2Se4 after structural relaxation.

a = 8.718 Å, b = 8.954 Å, c = 12.489 Å
α = 90.00°, β = 90.00°, γ = 90.00°
Space group Imma (No. 74)
Symmetry-distinct sites (fractional):
Rb  0.250  0.250  0.250 x4
Sr  0.000  0.000  0.000 x4
Nd  0.000  0.000  0.500 x4
Nd  0.250  0.250  0.750 x4
Se  0.000  0.024  0.744 x8
Se  0.241  0.250  0.511 x8

Values from the calculation:
The calculation puts the density of states at the Fermi level at 0.368 states/eV/atom.

---

These records have E_tot values of -2.11; -5.36; -7.22; -5.86; -0.80; -4.59; -5.52; -6.43; -5.28; -5.52; -1.47; -5.05 eV per atom, in the order they appear.